No. 1
DFT (GGA-PBE) results for a relaxed structure of Pa2InCo.

- total magnetic moment (μB/f.u.) = 0.0
- energy of formation (eV/atom) = -0.06
- uncorrected energy (eV per atom) = -7.27
- DOS(E_F) (states/eV/cell) = 6.21

a b c (Å): 3.4264 3.4264 9.2874
angles (deg): 79.37 79.37 60.00
Positions (direct):
Co: 0.6665 0.6665 0.0005
Pa: 0.0639 0.0639 0.8084
Pa: 0.2688 0.2688 0.1937
In: 0.5009 0.5009 0.4974


No. 2
DFT (GGA-PBE) results for a relaxed structure of PaInCoPt.

- total magnetic moment (μB/f.u.) = 0.0
- energy of formation (eV/atom) = -0.42
- uncorrected energy (eV per atom) = -6.77
- DOS(E_F) (states/eV/cell) = 3.22

a b c (Å): 4.7472 4.7472 4.7472
angles (deg): 60.00 60.00 60.00
Positions (direct):
In: 0.5000 0.5000 0.5000
Pa: 0.0000 0.0000 0.0000
Co: 0.2500 0.2500 0.2500
Pt: 0.7500 0.7500 0.7500


No. 3
DFT (GGA-PBE) results for a relaxed structure of PaInCoRh.

- total magnetic moment (μB/f.u.) = 0.0
- energy of formation (eV/atom) = -0.35
- uncorrected energy (eV per atom) = -7.03
- DOS(E_F) (states/eV/cell) = 5.73

a b c (Å): 4.6907 4.6907 4.6907
angles (deg): 60.00 60.00 60.00
Positions (direct):
Pa: 0.2500 0.2500 0.2500
Rh: 0.0000 0.0000 0.0000
Co: 0.5000 0.5000 0.5000
In: 0.7500 0.7500 0.7500